# ScGeSeS

A relaxed structure of ScGeSeS (PBE, the Alexandria database).

Computed properties:
Symmetry: Cm
E above lowest polymorph in meV/atom: 33.9
Uncorrected formation energy in eV/atom: -0.92
Volume in Å³ per atom: 21.123
E in eV/atom: -5.56

Unit cell a=6.7818 b=6.7818 c=3.5379 alpha=94.51 beta=94.51 gamma=31.40
Fractional positions:
Sc 0.0000 0.0000 0.0000
Ge 0.7258 0.7258 0.9655
Se 0.4249 0.4249 0.4797
S 0.1515 0.1515 0.5594

# NbVB2

A relaxed structure of NbVB2 (PBE, the Alexandria database).

Computed properties:
Symmetry: I-42d
E above lowest polymorph in meV/atom: 1431.7
Volume in Å³ per atom: 14.290
E in eV/atom: -7.47

Unit cell a=6.0756 b=6.0756 c=6.0756 alpha=133.95 beta=133.95 gamma=67.16
Fractional positions:
Nb 0.0000 0.0000 0.0000
Nb 0.7500 0.2500 0.5000
V 0.2500 0.7500 0.5000
V 0.5000 0.5000 0.0000
B 0.1494 0.6250 0.0244
B 0.3750 0.3994 0.5244
B 0.6006 0.1250 0.9756
B 0.8750 0.8506 0.4756

# PmInNiAg

A relaxed structure of PmInNiAg (PBE, the Alexandria database).

Computed properties:
Symmetry: F-43m
Volume in Å³ per atom: 20.525
E in eV/atom: -4.29

Unit cell a=4.8785 b=4.8785 c=4.8785 alpha=60.00 beta=60.00 gamma=60.00
Fractional positions:
Pm 0.0000 0.0000 0.0000
In 0.5000 0.5000 0.5000
Ni 0.2500 0.2500 0.2500
Ag 0.7500 0.7500 0.7500

# Na3Tm2SbSe6

A relaxed structure of Na3Tm2SbSe6 (PBE, the Alexandria database).

Computed properties:
Symmetry: C2/m
Uncorrected formation energy in eV/atom: -1.35
Volume in Å³ per atom: 25.820
E in eV/atom: -4.51

Unit cell a=7.1511 b=7.1511 c=7.3919 alpha=99.28 beta=99.28 gamma=120.01
Fractional positions:
Na 0.0000 0.0000 0.0000
Na 0.3373 0.6627 0.0000
Na 0.6627 0.3373 0.0000
Tm 0.1671 0.8329 0.5000
Tm 0.8329 0.1671 0.5000
Sb 0.5000 0.5000 0.5000
Se 0.0863 0.4240 0.2722
Se 0.2376 0.2376 0.7267
Se 0.4240 0.0863 0.2722
Se 0.5760 0.9137 0.7278
Se 0.7624 0.7624 0.2733
Se 0.9137 0.5760 0.7278

# Pr6SmIn

A relaxed structure of Pr6SmIn (PBE, the Alexandria database).

Computed properties:
Symmetry: P4/mmm
Volume in Å³ per atom: 33.745
E in eV/atom: -4.64

Unit cell a=5.0789 b=5.0789 c=10.4653 alpha=90.00 beta=90.00 gamma=90.00
Fractional positions:
Pr 0.0000 0.0000 0.0000
Pr 0.0000 0.0000 0.5000
Pr 0.0000 0.5000 0.2419
Pr 0.0000 0.5000 0.7581
Pr 0.5000 0.0000 0.2419
Pr 0.5000 0.0000 0.7581
Sm 0.5000 0.5000 0.5000
In 0.5000 0.5000 0.0000

# SrLa2Si

A relaxed structure of SrLa2Si (PBE, the Alexandria database).

Computed properties:
Symmetry: Imm2
Uncorrected formation energy in eV/atom: -0.16
Volume in Å³ per atom: 35.738
E in eV/atom: -4.40

Unit cell a=7.8432 b=7.8432 c=7.8432 alpha=150.69 beta=142.59 gamma=48.22
Fractional positions:
Sr 0.0000 0.0000 0.0000
La 0.3047 0.8047 0.5000
La 0.6657 0.6657 0.0000
Si 0.8207 0.3207 0.5000

Q: What is the formula in the fourth record?
A: Na3Tm2SbSe6

Q: What is the formula in the second record?
A: NbVB2